No. 1
4
Lattice="-1.208 -1.823 1.563 -0.900 0.016 -2.533 5.894 -5.731 -2.129" Properties=species:S:1:pos:R:3 comment="MgBeRu2, relaxed, DFT PBE" formation_enthalpy_0k_kj_per_mol_fu=129 volume_a3_per_atom=14.05 crystal_system=orthorhombic pbc="T T T"
Ru 0.054 -0.052 -0.019
Ru 0.540 -2.454 -1.061
Mg 3.322 -5.159 -2.066
Be 2.818 -2.740 -1.018

***

No. 2
10
Lattice="7.757 0.000 0.000 3.879 6.718 0.001 3.878 2.240 6.238" Properties=species:S:1:pos:R:3 comment="NaTiTl2Br6, relaxed, DFT PBE" raw_formation_energy_mev_per_atom=-1113 volume_a3_per_atom=32.50 crystal_system=trigonal pbc="T T T"
Br 3.327 4.319 1.696
Br 5.708 4.989 4.948
Br 8.339 2.450 4.948
Br 2.354 0.722 1.697
Br 9.222 5.998 4.946
Br 5.955 1.679 1.696
Tl 3.878 2.240 5.433
Tl 7.757 4.479 2.252
Na 11.635 6.719 3.427
Ti 3.878 2.239 0.245

***

No. 3
8
Lattice="-3.128 2.568 0.696 -2.356 -3.172 1.117 5.170 1.190 6.736" Properties=species:S:1:pos:R:3 comment="ErPd5Au2, relaxed, DFT PBE" e_above_lowest_polymorph_ev_per_atom=0.006 formation_enthalpy_0k_kj_per_mol_fu=-379 volume_a3_per_atom=17.00 crystal_system=tetragonal pbc="T T T"
Au 1.221 0.447 3.843
Au -1.534 0.139 4.706
Pd -0.955 1.507 2.265
Pd 0.256 1.949 6.074
Pd 0.642 -0.921 6.284
Pd -0.569 -1.363 2.476
Pd -2.742 -0.302 0.906
Er 0.000 0.000 0.000

***

No. 4
12
Lattice="-3.335 0.653 3.774 3.663 -1.467 3.183 1.912 6.134 0.628" Properties=species:S:1:pos:R:3 comment="NpCd2RhO8, relaxed, DFT PBE" raw_formation_energy_mev_per_atom=-1399 volume_a3_per_atom=13.84 crystal_system=monoclinic pbc="T T T"
O -1.612 1.815 3.831
O -0.659 4.871 4.144
O 1.199 2.472 5.391
O 2.899 0.449 3.440
O 3.851 3.505 3.753
O 0.087 -0.226 1.946
O 1.041 2.848 2.194
O 2.152 5.546 5.638
Np 0.000 0.000 0.000
Cd 1.581 4.138 3.944
Cd 0.659 1.181 3.641
Rh 0.956 3.067 0.314

***

No. 5
6
Lattice="-3.301 1.097 -2.004 -3.252 -2.354 0.049 -5.912 4.952 8.505" Properties=species:S:1:pos:R:3 comment="CaNiBr, relaxed, DFT PBE" raw_formation_energy_mev_per_atom=-988 volume_a3_per_atom=26.18 crystal_system=triclinic pbc="T T T"
Br -6.966 -0.497 -0.212
Br -9.467 3.084 5.868
Ca -6.712 2.687 5.134
Ca -5.350 0.738 1.825
Ni -8.214 1.293 2.829
Ni -3.845 2.131 4.133

***

No. 6
4
Lattice="-2.643 1.526 1.936 -0.790 -1.266 3.292 6.905 7.809 6.644" Properties=species:S:1:pos:R:3 comment="Ca2SmCd, relaxed, DFT PBE" e_above_lowest_polymorph_ev_per_atom=0.174 formation_enthalpy_0k_kj_per_mol_fu=41 volume_a3_per_atom=34.45 crystal_system=trigonal pbc="T T T"
Ca 4.573 5.571 5.224
Ca -1.100 2.498 6.648
Sm 0.000 0.000 0.000
Cd 1.736 4.034 5.936